--- w ---
# KSr2P2, optimized geometry, DFT PBE
# mass density = 2.85 g cm⁻³
data_KSr2P2
_symmetry_space_group_name_H-M 'I 4/m m m'
_symmetry_Int_Tables_number 139
_symmetry_space_group_name_Hall '-I 4 2'
_cell_length_a 5.2483
_cell_length_b 5.2483
_cell_length_c 11.6996
_cell_angle_alpha 90.00
_cell_angle_beta 90.00
_cell_angle_gamma 90.00
loop_
_atom_site_label
_atom_site_type_symbol
_atom_site_fract_x
_atom_site_fract_y
_atom_site_fract_z
K1 K 0.0000 0.0000 0.0000
Sr1 Sr 0.0000 0.5000 0.2500
P1 P 0.0000 0.0000 0.3905

=====

--- x ---
# KSr2P2, optimized geometry, DFT PBE
# mass density = 3.14 g cm⁻³
data_KSr2P2
_symmetry_space_group_name_H-M 'P 4/m b m'
_symmetry_Int_Tables_number 127
_symmetry_space_group_name_Hall '-P 4 2ab'
_cell_length_a 8.8933
_cell_length_b 8.8933
_cell_length_c 3.6950
_cell_angle_alpha 90.00
_cell_angle_beta 90.00
_cell_angle_gamma 90.00
loop_
_atom_site_label
_atom_site_type_symbol
_atom_site_fract_x
_atom_site_fract_y
_atom_site_fract_z
K1 K 0.0000 0.0000 0.0000
Sr1 Sr 0.1364 0.3636 0.5000
P1 P 0.1628 0.6628 0.0000

=====

x has the most favorable energy; the next structure is 196 meV per atom above.

=====

--- w ---
# K2SrP2, optimized geometry, DFT PBE
# mass density = 2.64 g cm⁻³
data_K2SrP2
_symmetry_space_group_name_H-M 'I 4/m m m'
_symmetry_Int_Tables_number 139
_symmetry_space_group_name_Hall '-I 4 2'
_cell_length_a 4.5634
_cell_length_b 4.5634
_cell_length_c 13.7675
_cell_angle_alpha 90.00
_cell_angle_beta 90.00
_cell_angle_gamma 90.00
loop_
_atom_site_label
_atom_site_type_symbol
_atom_site_fract_x
_atom_site_fract_y
_atom_site_fract_z
K1 K 0.0000 0.5000 0.2500
Sr1 Sr 0.0000 0.0000 0.0000
P1 P 0.0000 0.0000 0.4179

=====

--- x ---
# K2SrP2, optimized geometry, DFT PBE
# mass density = 2.41 g cm⁻³
data_K2SrP2
_symmetry_space_group_name_H-M 'P 4/m b m'
_symmetry_Int_Tables_number 127
_symmetry_space_group_name_Hall '-P 4 2ab'
_cell_length_a 7.6417
_cell_length_b 7.6417
_cell_length_c 5.3642
_cell_angle_alpha 90.00
_cell_angle_beta 90.00
_cell_angle_gamma 90.00
loop_
_atom_site_label
_atom_site_type_symbol
_atom_site_fract_x
_atom_site_fract_y
_atom_site_fract_z
K1 K 0.1617 0.3383 0.0000
Sr1 Sr 0.0000 0.0000 0.5000
P1 P 0.1041 0.6041 0.5000

=====

x has the most favorable energy; the next structure is 53 meV per atom above.

=====

--- w ---
# KSr3P, optimized geometry, DFT PBE
# mass density = 2.01 g cm⁻³
data_KSr3P
_symmetry_space_group_name_H-M 'R -3'
_symmetry_Int_Tables_number 148
_symmetry_space_group_name_Hall '-R 3'
_cell_length_a 7.5729
_cell_length_b 7.5729
_cell_length_c 33.2873
_cell_angle_alpha 90.00
_cell_angle_beta 90.00
_cell_angle_gamma 120.00
loop_
_atom_site_label
_atom_site_type_symbol
_atom_site_fract_x
_atom_site_fract_y
_atom_site_fract_z
K1 K 0.0000 0.0000 0.1642
Sr1 Sr 0.0054 0.6600 0.9492
P1 P 0.0000 0.0000 0.3355

=====

--- x ---
# KSr3P, optimized geometry, DFT PBE
# mass density = 2.40 g cm⁻³
data_KSr3P
_symmetry_space_group_name_H-M 'P m -3 m'
_symmetry_Int_Tables_number 221
_symmetry_space_group_name_Hall '-P 4 2 3'
_cell_length_a 6.1331
_cell_length_b 6.1331
_cell_length_c 6.1331
_cell_angle_alpha 90.00
_cell_angle_beta 90.00
_cell_angle_gamma 90.00
loop_
_atom_site_label
_atom_site_type_symbol
_atom_site_fract_x
_atom_site_fract_y
_atom_site_fract_z
K1 K 0.0000 0.0000 0.0000
Sr1 Sr 0.0000 0.5000 0.5000
P1 P 0.5000 0.5000 0.5000

=====

x has the most favorable energy; the next structure is 10 meV per atom above.

=====

--- w ---
# KTaP2, optimized geometry, DFT PBE
# mass density = 4.42 g cm⁻³
data_KTaP2
_symmetry_space_group_name_H-M 'I m m m'
_symmetry_Int_Tables_number 71
_symmetry_space_group_name_Hall '-I 2 2'
_cell_length_a 3.3498
_cell_length_b 6.9643
_cell_length_c 9.0767
_cell_angle_alpha 90.00
_cell_angle_beta 90.00
_cell_angle_gamma 90.00
loop_
_atom_site_label
_atom_site_type_symbol
_atom_site_fract_x
_atom_site_fract_y
_atom_site_fract_z
K1 K 0.0000 0.0000 0.0000
Ta1 Ta 0.0000 0.0000 0.5000
P1 P 0.0000 0.5000 0.1958

=====

--- x ---
# KTaP2, optimized geometry, DFT PBE
# mass density = 5.76 g cm⁻³
data_KTaP2
_symmetry_space_group_name_H-M 'P 4 m m'
_symmetry_Int_Tables_number 99
_symmetry_space_group_name_Hall 'P 4 -2'
_cell_length_a 2.8931
_cell_length_b 2.8931
_cell_length_c 9.7172
_cell_angle_alpha 90.00
_cell_angle_beta 90.00
_cell_angle_gamma 90.00
loop_
_atom_site_label
_atom_site_type_symbol
_atom_site_fract_x
_atom_site_fract_y
_atom_site_fract_z
K1 K 0.0000 0.0000 0.0000
Ta1 Ta 0.5000 0.5000 0.6557
P1 P 0.0000 0.0000 0.4857
P2 P 0.5000 0.5000 0.2594

=====

w has the most favorable energy; the next structure is 450 meV per atom above.

=====

--- w ---
# KTaP, optimized geometry, DFT PBE
# mass density = 6.12 g cm⁻³
data_KTaP
_symmetry_space_group_name_H-M 'F m m 2'
_symmetry_Int_Tables_number 42
_symmetry_space_group_name_Hall 'F 2 -2'
_cell_length_a 3.7518
_cell_length_b 4.9509
_cell_length_c 14.6681
_cell_angle_alpha 90.00
_cell_angle_beta 90.00
_cell_angle_gamma 90.00
loop_
_atom_site_label
_atom_site_type_symbol
_atom_site_fract_x
_atom_site_fract_y
_atom_site_fract_z
K1 K 0.0000 0.0000 0.0000
Ta1 Ta 0.0000 0.0000 0.7206
P1 P 0.0000 0.0000 0.3278

=====

--- x ---
# KTaP, optimized geometry, DFT PBE
# mass density = 5.43 g cm⁻³
data_KTaP
_symmetry_space_group_name_H-M 'I 4 m m'
_symmetry_Int_Tables_number 107
_symmetry_space_group_name_Hall 'I 4 -2'
_cell_length_a 3.4565
_cell_length_b 3.4565
_cell_length_c 12.8469
_cell_angle_alpha 90.00
_cell_angle_beta 90.00
_cell_angle_gamma 90.00
loop_
_atom_site_label
_atom_site_type_symbol
_atom_site_fract_x
_atom_site_fract_y
_atom_site_fract_z
K1 K 0.0000 0.0000 0.0000
Ta1 Ta 0.0000 0.0000 0.2715
P1 P 0.0000 0.0000 0.7361

=====

x has the most favorable energy; the next structure is 177 meV per atom above.

=====

--- w ---
# KTaP, optimized geometry, DFT PBE
# mass density = 5.95 g cm⁻³
data_KTaP
_symmetry_space_group_name_H-M 'F -4 3 m'
_symmetry_Int_Tables_number 216
_symmetry_space_group_name_Hall 'F -4 2 3'
_cell_length_a 6.5452
_cell_length_b 6.5452
_cell_length_c 6.5452
_cell_angle_alpha 90.00
_cell_angle_beta 90.00
_cell_angle_gamma 90.00
loop_
_atom_site_label
_atom_site_type_symbol
_atom_site_fract_x
_atom_site_fract_y
_atom_site_fract_z
K1 K 0.0000 0.0000 0.0000
Ta1 Ta 0.0000 0.0000 0.5000
P1 P 0.2500 0.2500 0.7500

=====

--- x ---
# KTaP, optimized geometry, DFT PBE
# mass density = 5.56 g cm⁻³
data_KTaP
_symmetry_space_group_name_H-M 'P 3 m 1'
_symmetry_Int_Tables_number 156
_symmetry_space_group_name_Hall 'P 3 -2"'
_cell_length_a 3.5109
_cell_length_b 3.5109
_cell_length_c 7.0192
_cell_angle_alpha 90.00
_cell_angle_beta 90.00
_cell_angle_gamma 120.00
loop_
_atom_site_label
_atom_site_type_symbol
_atom_site_fract_x
_atom_site_fract_y
_atom_site_fract_z
K1 K 0.0000 0.0000 0.0000
Ta1 Ta 0.3333 0.6667 0.5335
P1 P 0.6667 0.3333 0.3441

=====

--- y ---
# KTaP, optimized geometry, DFT PBE
# mass density = 5.25 g cm⁻³
data_KTaP
_symmetry_space_group_name_H-M 'F -4 3 m'
_symmetry_Int_Tables_number 216
_symmetry_space_group_name_Hall 'F -4 2 3'
_cell_length_a 6.8210
_cell_length_b 6.8210
_cell_length_c 6.8210
_cell_angle_alpha 90.00
_cell_angle_beta 90.00
_cell_angle_gamma 90.00
loop_
_atom_site_label
_atom_site_type_symbol
_atom_site_fract_x
_atom_site_fract_y
_atom_site_fract_z
K1 K 0.0000 0.0000 0.0000
Ta1 Ta 0.2500 0.2500 0.7500
P1 P 0.2500 0.2500 0.2500

=====

x has the most favorable energy; the next structure is 750 meV per atom above.